The following is a GGA-PBE calculation of a geometry-optimized NaIn4Ag2 structure, from the Alexandria database.

Calculated values
Energy of formation = -0.073 eV per atom
Calculated volume = 24.3 Å³/atom
Crystal system = orthorhombic
Electronic total energy = -2.64 eV per atom

Cell: 4.652 7.977 18.325 Å, 90.00 90.00 90.00°
Element x y z (fractional)
In1 0.750 0.620 0.967
In2 0.250 0.380 0.033
In3 0.750 0.517 0.567
In4 0.750 0.880 0.467
In5 0.250 0.120 0.533
In6 0.250 0.269 0.188
In7 0.250 0.483 0.433
In8 0.750 0.769 0.312
In9 0.750 0.128 0.811
In10 0.250 0.872 0.189
In11 0.750 0.372 0.311
In12 0.750 0.731 0.812
In13 0.250 0.628 0.689
In14 0.750 0.983 0.067
In15 0.250 0.017 0.933
In16 0.250 0.231 0.688
Na1 0.750 0.570 0.146
Na2 0.250 0.070 0.354
Na3 0.750 0.930 0.646
Na4 0.250 0.430 0.854
Ag1 0.750 0.426 0.723
Ag2 0.250 0.749 0.541
Ag3 0.750 0.074 0.223
Ag4 0.250 0.751 0.041
Ag5 0.750 0.251 0.459
Ag6 0.250 0.574 0.277
Ag7 0.750 0.249 0.959
Ag8 0.250 0.926 0.777